## Y2CdPbO6 (PBE)

Data for a relaxed Y2CdPbO6 crystal.

Results
Energy relative to the elements, uncorrected ... -2.221 eV/atom
Electronic total energy ... -6.951 eV/atom
Spin magnetization ... 0.00 μB/f.u.
SG ... R3

Lattice parameters (Å, degrees): 6.1180 6.1180 6.1180 56.58 56.58 56.58
Element x y z (fractional)
Y 0.0000 0.0000 0.0000
Y 0.4983 0.4983 0.4983
Cd 0.2209 0.2209 0.2209
Pb 0.7095 0.7095 0.7095
O 0.0929 0.4124 0.8035
O 0.3150 0.8881 0.6160
O 0.4124 0.8035 0.0929
O 0.6160 0.3150 0.8881
O 0.8035 0.0929 0.4124
O 0.8881 0.6160 0.3150